# GGA-PBE YIn3Pd, optimized geometry
data_YIn3Pd
_cell_length_a 5.122
_cell_length_b 5.122
_cell_length_c 5.122
_cell_angle_alpha 90.00
_cell_angle_beta 90.00
_cell_angle_gamma 90.00
_symmetry_space_group_name_H-M 'P m -3 m'
_symmetry_Int_Tables_number 221
_symmetry_space_group_name_Hall '-P 4 2 3'
loop_
_atom_site_label
_atom_site_type_symbol
_atom_site_fract_x
_atom_site_fract_y
_atom_site_fract_z
Y1 Y 0.000 0.000 0.000
In1 In 0.000 0.500 0.500
Pd1 Pd 0.500 0.500 0.500
# Energy above the lowest structure with this stoichiometry, kJ per mole of atoms: 33.5
# VASP energy, Ry/atom: -0.3030
# Formation enthalpy at 0 K, meV/atom: -148
# Total moment, μB per cell: 0.0

# GGA-PBE YInPd2, optimized geometry
data_YInPd2
_cell_length_a 7.537
_cell_length_b 7.537
_cell_length_c 6.153
_cell_angle_alpha 90.00
_cell_angle_beta 90.00
_cell_angle_gamma 90.00
_symmetry_space_group_name_H-M 'I -4 2 d'
_symmetry_Int_Tables_number 122
_symmetry_space_group_name_Hall 'I -4 2bw'
loop_
_atom_site_label
_atom_site_type_symbol
_atom_site_fract_x
_atom_site_fract_y
_atom_site_fract_z
Y1 Y 0.000 0.000 0.000
In1 In 0.000 0.000 0.500
Pd1 Pd 0.237 0.250 0.625
# VASP energy, Ry/atom: -0.3904
# Formation enthalpy at 0 K, meV/atom: -414
# Total moment, μB per cell: 0.0

# GGA-PBE YIn3Pd, optimized geometry
data_YIn3Pd
_cell_length_a 9.039
_cell_length_b 4.416
_cell_length_c 11.707
_cell_angle_alpha 90.00
_cell_angle_beta 90.00
_cell_angle_gamma 90.00
_symmetry_space_group_name_H-M 'P n m a'
_symmetry_Int_Tables_number 62
loop_
_symmetry_equiv_pos_as_xyz
'x,y,z'
'-x,-y,-z'
'-x+1/2,-y,z+1/2'
'x+1/2,y,-z+1/2'
'x+1/2,-y+1/2,-z+1/2'
'-x+1/2,y+1/2,z+1/2'
'-x,y+1/2,-z'
'x,-y+1/2,z'
loop_
_atom_site_label
_atom_site_type_symbol
_atom_site_fract_x
_atom_site_fract_y
_atom_site_fract_z
Y1 Y 0.196 0.250 0.006
In1 In 0.064 0.250 0.589
In2 In 0.097 0.750 0.816
In3 In 0.145 0.750 0.209
Pd1 Pd 0.110 0.250 0.357
# Energy above the lowest structure with this stoichiometry, kJ per mole of atoms: 0.0
# VASP energy, Ry/atom: -0.3285
# Formation enthalpy at 0 K, meV/atom: -494
# Total moment, μB per cell: 0.0